(1)
Below is a geometry-optimized TbCe5Te6 structure, with properties calculated at the PBE level.

abc: 7.7246 7.7347 7.7610
angles: 60.11 80.34 70.32
Each line ends with the local moment (μB).
Fractional coordinates of all 12 atoms:
Te 0.7498 0.7565 0.0000  -0.02
Te 0.2451 0.5909 0.3280  -0.02
Te 0.2502 0.2435 0.0000  -0.02
Te 0.7549 0.0811 0.3280  -0.02
Te 0.7549 0.4091 0.6720  -0.02
Te 0.2451 0.9189 0.6720  -0.02
Ce 0.5000 0.8295 0.3410  0.96
Ce 0.5000 0.5000 0.0000  0.96
Ce 0.0000 0.6654 0.6692  0.95
Ce 0.0000 0.3346 0.3308  0.95
Ce 0.5000 0.1705 0.6590  0.96
Tb 0.0000 0.0000 0.0000  0.00

VASP energy: -5.788 eV/atom
Formation energy without anion corrections: -1.359 eV/atom
Total moment: 5.71 μB/f.u.

=====

(2)
Below is a geometry-optimized Tb4Ce3Te8 structure, with properties calculated at the PBE level.

abc: 8.8032 8.8284 8.8284
angles: 90.08 119.86 119.86
Each line ends with the local moment (μB).
Fractional coordinates of all 15 atoms:
Te 0.0000 0.7476 0.2524  -0.01
Te 0.0060 0.7498 0.7498  0.00
Te 0.5000 0.7532 0.2468  -0.01
Te 0.5040 0.2487 0.2487  -0.01
Te 0.0000 0.2524 0.7476  -0.01
Te 0.5000 0.2468 0.7532  -0.01
Te 0.9940 0.2502 0.2502  0.00
Te 0.4960 0.7513 0.7513  -0.01
Tb 0.0000 0.5000 0.0000  0.05
Tb 0.5000 0.0000 0.0000  0.02
Tb 0.0000 0.0000 0.5000  0.05
Tb 0.0000 0.0000 0.0000  0.09
Ce 0.5000 0.5000 0.0000  0.96
Ce 0.5000 0.0000 0.5000  0.96
Ce 0.5000 0.5000 0.5000  1.00

VASP energy: -5.483 eV/atom
Formation energy without anion corrections: -1.386 eV/atom
Total moment: 3.81 μB/f.u.

=====

(3)
Below is a geometry-optimized TbCeTe structure, with properties calculated at the PBE level.

abc: 3.9292 3.9292 6.4428
angles: 107.75 107.75 90.00
Each line ends with the local moment (μB).
Fractional coordinates of all 3 atoms:
Tb 0.6474 0.6474 0.2947  0.13
Ce 0.3447 0.3447 0.6895  0.87
Te 0.0079 0.0079 0.0158  -0.01

VASP energy: -5.250 eV/atom
Formation energy without anion corrections: -0.681 eV/atom
Total moment: 1.25 μB/f.u.
Relative energy among the computed polymorphs: 0.132 eV per atom

=====

(4)
Below is a geometry-optimized Tb2Ce3ThTe6 structure, with properties calculated at the PBE level.

abc: 4.4161 8.9521 9.9421
angles: 103.04 102.83 90.00
Each line ends with the local moment (μB).
Fractional coordinates of all 12 atoms:
Te 0.0036 0.2539 0.0071  -0.01
Te 0.6687 0.0918 0.3373  -0.01
Te 0.9964 0.7461 0.9929  -0.01
Te 0.6693 0.5787 0.3385  -0.01
Te 0.3313 0.9082 0.6627  -0.01
Te 0.3307 0.4213 0.6615  -0.01
Ce 0.1637 0.8339 0.3274  0.97
Ce 0.8363 0.1661 0.6726  0.97
Ce 0.5000 0.5000 0.0000  0.90
Tb 0.1660 0.3322 0.3320  0.01
Tb 0.8340 0.6678 0.6680  0.01
Th 0.5000 0.0000 0.0000  0.01

VASP energy: -5.739 eV/atom
Formation energy without anion corrections: -1.295 eV/atom
Total moment: 3.50 μB/f.u.